Record 1
# ScAgSn2

A relaxed ScAgSn2 crystal (PBE-GGA, the Open Quantum Materials Database).

Cell lengths 7.183, 7.183, 7.183 Å; angles 90.00, 90.00, 90.00 degrees
Space group F-43m (No. 216)
Symmetry-distinct sites (fractional):
Sc 0.000 0.000 0.000
Ag 0.250 0.250 0.250
Sn 0.000 0.000 0.500
Sn 0.250 0.250 0.750

Calculated values
**Uncorrected energy**: -4.376 eV per atom
**Volume**: 23.159 Å³/atom

=====

Record 2
# ZrInAsO

A relaxed ZrInAsO crystal (PBE-GGA, the Open Quantum Materials Database).

Cell lengths 4.317, 4.317, 8.101 Å; angles 90.00, 90.00, 90.00 degrees
Space group P4/nmm (No. 129, origin choice 2)
Symmetry-distinct sites (fractional):
Zr 0.250 0.750 0.000
In 0.250 0.250 0.393
As 0.250 0.250 0.805
O 0.250 0.750 0.500

Calculated values
**Energy relative to the lowest polymorph listed for this composition**: 489.6 meV/atom
**Uncorrected energy**: -5.946 eV per atom
**Volume**: 18.868 Å³/atom

=====

Record 3
# ThMgOs

A relaxed ThMgOs crystal (PBE-GGA, the Open Quantum Materials Database).

Cell lengths 6.646, 6.646, 6.646 Å; angles 90.00, 90.00, 90.00 degrees
Space group F-43m (No. 216)
Symmetry-distinct sites (fractional):
Th 0.000 0.000 0.000
Mg 0.000 0.000 0.500
Os 0.250 0.250 0.750

Calculated values
**Uncorrected energy**: -6.791 eV per atom
**Volume**: 24.467 Å³/atom

=====

Record 4
# Tb2FeC2

A relaxed Tb2FeC2 crystal (PBE-GGA, the Open Quantum Materials Database).

Cell lengths 10.909, 5.065, 6.690 Å; angles 90.00, 121.74, 90.00 degrees
Space group C2/m (No. 12)
Symmetry-distinct sites (fractional):
Tb 0.042 0.000 0.285
Tb 0.183 0.500 0.112
Fe 0.129 0.500 0.631
C 0.015 0.500 0.300
C 0.184 0.000 0.108

Calculated values
**Uncorrected energy**: -7.466 eV per atom
**Volume**: 15.719 Å³/atom

=====

Record 5
# BaTcHg2

A relaxed BaTcHg2 crystal (PBE-GGA, the Open Quantum Materials Database).

Cell lengths 7.486, 7.486, 7.486 Å; angles 90.00, 90.00, 90.00 degrees
Space group F-43m (No. 216)
Symmetry-distinct sites (fractional):
Ba 0.000 0.000 0.000
Tc 0.250 0.250 0.250
Hg 0.000 0.000 0.500
Hg 0.250 0.250 0.750

Calculated values
**Uncorrected energy**: -2.581 eV per atom
**Volume**: 26.220 Å³/atom

=====

Record 6
# HgPbSO

A relaxed HgPbSO crystal (PBE-GGA, the Open Quantum Materials Database).

Cell lengths 4.201, 4.201, 10.124 Å; angles 90.00, 90.00, 90.00 degrees
Space group P4/nmm (No. 129, origin choice 2)
Symmetry-distinct sites (fractional):
Hg 0.250 0.750 0.000
Pb 0.250 0.250 0.330
S 0.250 0.250 0.719
O 0.250 0.250 0.555

Calculated values
**Energy relative to the lowest polymorph listed for this composition**: 228.1 meV/atom
**Uncorrected energy**: -3.561 eV per atom
**Volume**: 22.333 Å³/atom